# WCl2F | the Alexandria database | PBE+U | optimized geometry
data_WCl2F
_cell_length_a 6.317
_cell_length_b 6.317
_cell_length_c 6.317
_cell_angle_alpha 90.00
_cell_angle_beta 90.00
_cell_angle_gamma 90.00
_symmetry_space_group_name_H-M 'F m -3 m'
_symmetry_Int_Tables_number 225
_symmetry_space_group_name_Hall '-F 4 2 3'
loop_
_atom_site_label
_atom_site_fract_x
_atom_site_fract_y
_atom_site_fract_z
W1 0.000 0.000 0.000
Cl1 0.250 0.250 0.250
F1 0.000 0.000 0.500
# E	-14.50	eV per formula unit
# magnetic moment	3.0	μB per formula unit
# E above lowest polymorph	0.047	eV/atom